# 1
{"formula": "Ce2Pa3Ge4", "functional": "PBE", "state": "relaxed", "rho_g_cm3": 9.7, "space_group": "P2_1/c (14)", "dos_ef_per_ev_atom": 2.09, "e_form_ev_per_fu": -4.9, "cell": [[-5.4406, -5.3439, 0.6070], [7.0498, -2.6028, 2.3769], [-1.5504, 2.3991, 7.2255]], "species": ["Ce", "Ce", "Ce", "Ce", "Pa", "Pa", "Pa", "Pa", "Pa", "Pa", "Ge", "Ge", "Ge", "Ge", "Ge", "Ge", "Ge", "Ge"], "frac_coords": [[0.5636, 0.2021, 0.3179], [0.9364, 0.7979, 0.8179], [0.4364, 0.7979, 0.6821], [0.0636, 0.2021, 0.1821], [0.0000, 0.5000, 0.5000], [0.5000, 0.5000, 0.0000], [0.7180, 0.2448, 0.8260], [0.7820, 0.7552, 0.3260], [0.2820, 0.7552, 0.1740], [0.2180, 0.2448, 0.6740], [0.8243, 0.0810, 0.5321], [0.6757, 0.9190, 0.0321], [0.1757, 0.9190, 0.4679], [0.3243, 0.0810, 0.9679], [0.8756, 0.4912, 0.1252], [0.6244, 0.5088, 0.6252], [0.1244, 0.5088, 0.8748], [0.3756, 0.4912, 0.3748]]}

# 2
{"formula": "Cs2GeF", "functional": "PBE", "state": "relaxed", "polymorph_energy_mev_per_atom": 0.0, "rho_g_cm3": 3.2, "space_group": "I-42d (122)", "dos_ef_per_ev_atom": 0.12, "formation_energy_uncorrected_ev_per_atom": -0.929, "cell": [[-4.3506, 4.3506, 4.9728], [4.3506, -4.3506, 4.9728], [4.3506, 4.3506, -4.9728]], "species": ["Cs", "Cs", "Cs", "Cs", "Ge", "Ge", "F", "F"], "frac_coords": [[0.2157, 0.6250, 0.0907], [0.5343, 0.1250, 0.9093], [0.3750, 0.4657, 0.5907], [0.8750, 0.7843, 0.4093], [0.7500, 0.2500, 0.5000], [0.0000, 0.0000, 0.0000], [0.2500, 0.7500, 0.5000], [0.5000, 0.5000, 0.0000]]}

# 3
{"formula": "Hf3NiAs", "functional": "PBE", "state": "relaxed", "polymorph_energy_mev_per_atom": 0.0, "rho_g_cm3": 10.2, "space_group": "Pm-3m (221)", "dos_ef_per_ev_atom": 0.91, "e_form_ev_per_fu": 0.4, "cell": [[4.7805, 0.0000, 0.0000], [0.0000, 4.7805, 0.0000], [0.0000, 0.0000, 4.7805]], "species": ["Ni", "As", "Hf", "Hf", "Hf"], "frac_coords": [[0.0000, 0.0000, 0.0000], [0.5000, 0.5000, 0.5000], [0.0000, 0.5000, 0.0000], [0.0000, 0.0000, 0.5000], [0.5000, 0.0000, 0.0000]]}

# 4
{"formula": "K6HgCl8", "functional": "PBE", "state": "relaxed", "rho_g_cm3": 2.6, "space_group": "R-3 (148)", "dos_ef_per_ev_atom": 0.00, "formation_energy_uncorrected_ev_per_atom": -1.652, "cell": [[-4.3539, -3.8604, -5.7806], [-5.9597, -4.5267, 3.3563], [-7.3156, 3.5643, -1.0258]], "species": ["K", "K", "K", "K", "K", "K", "Hg", "Cl", "Cl", "Cl", "Cl", "Cl", "Cl", "Cl", "Cl"], "frac_coords": [[0.0584, 0.4791, 0.6991], [0.3009, 0.9416, 0.5209], [0.5209, 0.3009, 0.9416], [0.4791, 0.6991, 0.0584], [0.6991, 0.0584, 0.4791], [0.9416, 0.5209, 0.3009], [0.0000, 0.0000, 0.0000], [0.1620, 0.6802, 0.9025], [0.0975, 0.8380, 0.3198], [0.3198, 0.0975, 0.8380], [0.6590, 0.6590, 0.6590], [0.3410, 0.3410, 0.3410], [0.6802, 0.9025, 0.1620], [0.9025, 0.1620, 0.6802], [0.8380, 0.3198, 0.0975]]}

# 5
{"formula": "InRu", "functional": "PBE", "state": "relaxed", "rho_g_cm3": 9.1, "space_group": "Fm-3m (225)", "dos_ef_per_ev_atom": 1.73, "e_form_ev_per_fu": 1.3, "cell": [[5.3933, 0.0000, 0.0000], [0.0000, 5.3933, 0.0000], [0.0000, 0.0000, 5.3933]], "species": ["In", "In", "In", "In", "Ru", "Ru", "Ru", "Ru"], "frac_coords": [[0.5000, 0.5000, 0.5000], [0.5000, 0.0000, 0.0000], [0.0000, 0.5000, 0.0000], [0.0000, 0.0000, 0.5000], [0.0000, 0.0000, 0.0000], [0.0000, 0.5000, 0.5000], [0.5000, 0.0000, 0.5000], [0.5000, 0.5000, 0.0000]]}

# 6
{"formula": "K3Sm2InO6", "functional": "PBE", "state": "relaxed", "rho_g_cm3": 5.2, "space_group": "C2/m (12)", "dos_ef_per_ev_atom": 0.00, "formation_energy_uncorrected_ev_per_atom": -2.267, "cell": [[6.0809, -0.0016, 0.0022], [-3.0404, 5.2663, 0.0022], [-1.0119, -1.7521, 6.2825]], "species": ["K", "K", "K", "Sm", "Sm", "In", "O", "O", "O", "O", "O", "O"], "frac_coords": [[0.1627, 0.8373, 0.5000], [0.8373, 0.1627, 0.5000], [0.5000, 0.5000, 0.5000], [0.3332, 0.6668, 0.0000], [0.6668, 0.3332, 0.0000], [0.0000, 0.0000, 0.0000], [0.9367, 0.6131, 0.8098], [0.7396, 0.7396, 0.1892], [0.0633, 0.3869, 0.1902], [0.6131, 0.9367, 0.8098], [0.2604, 0.2604, 0.8108], [0.3869, 0.0633, 0.1902]]}

# 7
{"formula": "Sc6Co2Pd", "functional": "PBE", "state": "relaxed", "rho_g_cm3": 4.8, "space_group": "Immm (71)", "dos_ef_per_ev_atom": 1.15, "e_form_ev_per_fu": -3.6, "cell": [[7.1716, 0.1272, -2.6750], [-3.6938, 6.3195, -2.2412], [-0.1346, -0.1272, 7.6531]], "species": ["Sc", "Sc", "Sc", "Sc", "Sc", "Sc", "Sc", "Sc", "Sc", "Sc", "Sc", "Sc", "Co", "Co", "Co", "Co", "Pd", "Pd"], "frac_coords": [[0.5440, 0.7262, 0.8178], [0.4560, 0.2738, 0.1822], [0.0916, 0.2738, 0.8178], [0.9084, 0.7262, 0.1822], [0.8032, 0.7544, 0.5576], [0.1968, 0.2456, 0.4424], [0.1968, 0.7544, 0.9511], [0.8032, 0.2456, 0.0489], [0.6926, 0.3672, 0.6746], [0.3074, 0.6328, 0.3254], [0.3074, 0.9820, 0.6746], [0.6926, 0.0180, 0.3254], [0.5000, 0.3782, 0.8782], [0.5000, 0.6218, 0.1218], [0.6590, 0.0000, 0.6590], [0.3410, 0.0000, 0.3410], [0.0000, 0.5000, 0.5000], [0.0000, 0.0000, 0.0000]]}

# 8
{"formula": "NpAl11", "functional": "PBE", "state": "relaxed", "rho_g_cm3": 4.1, "space_group": "I4_1/amd (141)", "dos_ef_per_ev_atom": 1.32, "e_form_ev_per_fu": 0.5, "cell": [[-3.2526, -5.1689, 3.7173], [-1.9312, -6.9676, -4.5028], [5.2518, -5.6370, 3.6323]], "species": ["Np", "Np", "Al", "Al", "Al", "Al", "Al", "Al", "Al", "Al", "Al", "Al", "Al", "Al", "Al", "Al", "Al", "Al", "Al", "Al", "Al", "Al", "Al", "Al"], "frac_coords": [[0.5000, 0.0000, 0.0000], [0.2500, 0.5000, 0.5000], [0.4306, 0.8267, 0.4155], [0.6727, 0.1733, 0.5845], [0.0000, 0.0000, 0.0000], [0.7500, 0.5000, 0.5000], [0.3750, 0.7500, 0.7500], [0.8750, 0.7500, 0.2500], [0.8750, 0.2500, 0.7500], [0.8750, 0.2500, 0.2500], [0.4306, 0.4155, 0.8267], [0.0072, 0.6733, 0.9155], [0.5960, 0.3267, 0.0845], [0.6727, 0.5845, 0.1733], [0.7428, 0.5845, 0.8267], [0.1540, 0.4155, 0.1733], [0.0773, 0.3267, 0.9155], [0.3194, 0.6733, 0.0845], [0.3194, 0.0845, 0.6733], [0.7428, 0.8267, 0.5845], [0.1540, 0.1733, 0.4155], [0.0773, 0.9155, 0.3267], [0.0072, 0.9155, 0.6733], [0.5960, 0.0845, 0.3267]]}

# 9
{"formula": "Ac6C3S2Br", "functional": "PBE", "state": "relaxed", "rho_g_cm3": 7.9, "space_group": "C2/m (12)", "dos_ef_per_ev_atom": 0.24, "formation_energy_uncorrected_ev_per_atom": -0.845, "cell": [[4.1410, 0.0000, 0.0000], [0.0000, 8.7226, 0.0015], [-2.0705, -2.8398, 8.9918]], "species": ["Ac", "Ac", "Ac", "Ac", "Ac", "Ac", "C", "C", "C", "S", "S", "Br"], "frac_coords": [[0.3209, 0.9359, 0.6418], [0.6615, 0.5981, 0.3231], [0.6791, 0.0641, 0.3582], [0.9887, 0.2835, 0.9775], [0.0113, 0.7165, 0.0225], [0.3385, 0.4019, 0.6769], [0.5000, 0.5000, 0.0000], [0.8319, 0.1699, 0.6638], [0.1681, 0.8301, 0.3362], [0.8364, 0.6735, 0.6728], [0.1636, 0.3265, 0.3272], [0.5000, 0.0000, 0.0000]]}

# 10
{"formula": "SnBi2O6", "functional": "PBE", "state": "relaxed", "rho_g_cm3": 7.5, "space_group": "I-42m (121)", "dos_ef_per_ev_atom": 0.67, "formation_energy_uncorrected_ev_per_atom": -0.833, "cell": [[-0.9445, 1.5216, -3.7768], [3.9996, -0.3803, -1.1534], [-2.9936, -8.0105, -0.1657]], "species": ["Sn", "Bi", "Bi", "O", "O", "O", "O", "O", "O"], "frac_coords": [[0.5000, 0.5000, 0.0000], [0.1762, 0.1762, 0.3524], [0.8238, 0.8238, 0.6476], [0.8250, 0.3430, 0.1680], [0.6570, 0.6570, 0.8320], [0.3430, 0.8250, 0.1680], [0.1750, 0.1750, 0.8320], [0.7500, 0.2500, 0.5000], [0.2500, 0.7500, 0.5000]]}

# 11
{"formula": "ZnSe4Br", "functional": "PBE", "state": "relaxed", "rho_g_cm3": 5.7, "space_group": "F-43m (216)", "dos_ef_per_ev_atom": 1.55, "formation_energy_uncorrected_ev_per_atom": 0.513, "cell": [[2.4109, -2.6150, 4.5344], [-3.3105, -1.9709, 4.2856], [-0.6713, -5.6748, 0.7463]], "species": ["Zn", "Se", "Se", "Se", "Se", "Br"], "frac_coords": [[0.7500, 0.7500, 0.7500], [0.8659, 0.3780, 0.3780], [0.3780, 0.3780, 0.8659], [0.3780, 0.8659, 0.3780], [0.3780, 0.3780, 0.3780], [0.0000, 0.0000, 0.0000]]}

# 12
{"formula": "La6BiRu2", "functional": "PBE", "state": "relaxed", "polymorph_energy_mev_per_atom": 0.0, "rho_g_cm3": 7.6, "space_group": "C2/m (12)", "dos_ef_per_ev_atom": 0.88, "e_form_ev_per_fu": -3.4, "cell": [[4.9775, 0.0000, 0.0000], [-2.4887, 5.7415, -0.2860], [0.0000, -0.2462, 9.4830]], "species": ["La", "La", "La", "La", "La", "La", "Bi", "Ru", "Ru"], "frac_coords": [[0.0989, 0.1977, 0.8639], [0.6029, 0.2059, 0.1732], [0.3971, 0.7941, 0.8268], [0.7070, 0.4140, 0.6151], [0.2930, 0.5860, 0.3849], [0.9011, 0.8023, 0.1361], [0.0000, 0.0000, 0.5000], [0.7433, 0.4866, 0.8788], [0.2567, 0.5134, 0.1212]]}